InMoPb | Alexandria | PBE | relaxed; formation energy from the elements = 732 meV/atom; ΔE to the lowest computed polymorph = 188 meV/atom
1.0
4.999 0.000 0.000
-2.499 4.329 0.000
0.000 0.000 3.038
In Mo Pb
1 1 1
Direct
0.000 0.000 0.000
0.333 0.667 0.500
0.667 0.333 0.500


TbPmYLu | Alexandria | PBE | relaxed; formation energy from the elements = 128 meV/atom
1.0
0.000 4.014 4.014
4.014 0.000 4.014
4.014 4.014 0.000
Tb Pm Y Lu
1 1 1 1
Direct
0.000 0.000 0.000
0.250 0.250 0.250
0.750 0.750 0.750
0.500 0.500 0.500


P2RuW | Alexandria | PBE | relaxed; formation energy from the elements = -59 meV/atom
1.0
-1.489 2.009 4.656
1.489 -2.009 4.656
1.489 2.009 -4.656
P Ru W
2 1 1
Direct
0.000 0.000 0.000
0.719 0.219 0.500
0.208 0.708 0.500
0.481 0.481 0.000


Compound: AgAsH2Au
Source: Alexandria
Functional: PBE
Structure: relaxed

Cell and atoms, written as POSCAR:
```
AgAsH2Au
1.0
3.629 0.000 0.000
0.000 3.629 0.000
0.000 0.000 6.060
Ag As H Au
1 1 2 1
Direct
0.000 0.000 0.000
0.500 0.500 0.000
0.000 0.500 0.500
0.500 0.000 0.500
0.000 0.000 0.500
```


Ti3Al3OsRu2 | Alexandria | PBE | relaxed; formation energy from the elements = -569 meV/atom
1.0
7.255 0.000 0.000
-3.627 6.283 0.000
0.000 0.000 3.029
Ti Al Os Ru
3 3 1 2
Direct
0.000 0.712 0.000
0.288 0.288 0.000
0.712 0.000 0.000
0.000 0.376 0.500
0.376 0.000 0.500
0.624 0.624 0.500
0.000 0.000 0.500
0.333 0.667 0.000
0.667 0.333 0.000


AlZnCd2 | Alexandria | PBE | relaxed; formation energy from the elements = 129 meV/atom; ΔE to the lowest computed polymorph = 72 meV/atom
1.0
3.186 0.000 0.000
0.000 4.753 0.000
-1.067 0.000 5.283
Al Zn Cd
1 1 2
Direct
0.000 0.000 0.000
0.873 0.500 0.727
0.363 0.000 0.533
0.517 0.500 0.199


Tb6Dy12Th | Alexandria | PBE | relaxed; formation energy from the elements = 146 meV/atom; ΔE to the lowest computed polymorph = 0 meV/atom
1.0
5.960 3.441 5.020
-5.960 3.441 5.020
0.000 -6.882 5.020
Tb Dy Th
6 12 1
Direct
0.190 0.755 0.591
0.245 0.409 0.810
0.409 0.810 0.245
0.591 0.190 0.755
0.755 0.591 0.190
0.810 0.245 0.409
0.042 0.939 0.275
0.061 0.725 0.958
0.151 0.490 0.290
0.275 0.042 0.939
0.290 0.151 0.490
0.490 0.290 0.151
0.510 0.710 0.849
0.710 0.849 0.510
0.725 0.958 0.061
0.849 0.510 0.710
0.939 0.275 0.042
0.958 0.061 0.725
0.500 0.500 0.500


PmEu2Dy | Alexandria | PBE | relaxed; formation energy from the elements = 108 meV/atom; ΔE to the lowest computed polymorph = 0 meV/atom
1.0
3.679 0.000 0.000
0.000 3.679 0.000
0.000 0.000 10.646
Pm Eu Dy
1 2 1
Direct
0.000 0.000 0.000
0.500 0.500 0.254
0.500 0.500 0.746
0.000 0.000 0.500


LiHf2As2 | Alexandria | PBE | relaxed; formation energy from the elements = -768 meV/atom
1.0
7.203 0.000 0.000
0.000 7.203 0.000
0.000 0.000 3.574
Li Hf As
2 4 4
Direct
0.000 0.000 0.000
0.500 0.500 0.000
0.149 0.351 0.500
0.351 0.851 0.500
0.649 0.149 0.500
0.851 0.649 0.500
0.151 0.651 0.000
0.349 0.151 0.000
0.651 0.849 0.000
0.849 0.349 0.000


Sb2TeW | Alexandria | PBE | relaxed; formation energy from raw total energies = 1.0160 eV per atom
1.0
4.225 0.000 0.000
0.000 4.225 0.000
0.000 0.000 5.442
Sb Te W
2 1 1
Direct
0.000 0.500 0.000
0.500 0.000 0.000
0.000 0.000 0.500
0.500 0.500 0.500


SbTePb4 | Alexandria | PBE | relaxed; formation energy from raw total energies = 0.2434 eV per atom
1.0
0.000 4.602 4.602
4.602 0.000 4.602
4.602 4.602 0.000
Sb Te Pb
1 1 4
Direct
0.000 0.000 0.000
0.750 0.750 0.750
0.375 0.375 0.375
0.375 0.375 0.876
0.375 0.876 0.375
0.876 0.375 0.375


PrNdEr2Se6 | Alexandria | PBE | relaxed; formation energy from raw total energies = -1.8403 eV per atom
1.0
3.670 2.119 6.484
-3.670 2.119 6.484
0.000 -4.238 6.484
Pr Nd Er Se
1 1 2 6
Direct
0.000 0.000 0.000
0.498 0.498 0.498
0.297 0.297 0.297
0.798 0.798 0.798
0.079 0.678 0.420
0.182 0.579 0.916
0.420 0.079 0.678
0.579 0.916 0.182
0.678 0.420 0.079
0.916 0.182 0.579


Zn2SbRh | Alexandria | PBE | relaxed; formation energy from raw total energies = -0.1518 eV per atom
1.0
3.279 0.000 0.000
0.000 4.095 0.000
-1.597 0.000 5.177
Zn Sb Rh
2 1 1
Direct
0.000 0.000 0.000
0.437 0.500 0.876
0.738 0.000 0.486
0.154 0.500 0.309


Ba3Ga2Pb4 | Alexandria | PBE | relaxed; formation energy from the elements = -444 meV/atom; ΔE to the lowest computed polymorph = 0 meV/atom
1.0
6.650 -2.464 0.000
6.650 2.464 0.000
-2.888 0.000 9.584
Ba Ga Pb
3 2 4
Direct
0.000 0.000 0.000
0.379 0.379 0.314
0.621 0.621 0.686
0.291 0.291 0.640
0.709 0.709 0.360
0.098 0.098 0.389
0.297 0.297 0.939
0.703 0.703 0.061
0.902 0.902 0.611


Compound: TlP2H8
Source: Alexandria
Functional: PBE
Structure: relaxed

Cell and atoms, written as POSCAR:
```
TlP2H8
1.0
6.411 -1.980 0.000
6.411 1.980 0.000
-1.067 0.000 6.257
Tl P H
1 2 8
Direct
0.000 0.000 0.000
0.180 0.180 0.649
0.820 0.820 0.351
0.091 0.091 0.225
0.136 0.614 0.253
0.268 0.268 0.819
0.386 0.864 0.747
0.614 0.136 0.253
0.732 0.732 0.181
0.864 0.386 0.747
0.909 0.909 0.775
```


LuNiPd | Alexandria | PBE | relaxed; formation energy from the elements = -573 meV/atom
1.0
4.215 0.000 0.000
-2.108 3.650 0.000
0.000 0.000 3.533
Lu Ni Pd
1 1 1
Direct
0.000 0.000 0.000
0.667 0.333 0.500
0.333 0.667 0.500


Cd2CuRe | Alexandria | PBE | relaxed; formation energy from the elements = 706 meV/atom; ΔE to the lowest computed polymorph = 314 meV/atom
1.0
-2.003 2.003 4.218
2.003 -2.003 4.218
2.003 2.003 -4.218
Cd Cu Re
2 1 1
Direct
0.250 0.750 0.500
0.750 0.250 0.500
0.000 0.000 0.000
0.500 0.500 0.000


Ce2NiSeS4 | Alexandria | PBE | relaxed; formation energy from raw total energies = -1.3008 eV per atom
1.0
5.066 -1.929 0.000
5.066 1.929 0.000
-3.905 0.000 8.796
Ce Ni Se S
2 1 1 4
Direct
0.142 0.142 0.250
0.858 0.858 0.750
0.000 0.000 0.500
0.500 0.500 0.000
0.153 0.153 0.751
0.374 0.374 0.539
0.626 0.626 0.461
0.847 0.847 0.249


KAlS3 | Alexandria | PBE | relaxed; ΔE to the lowest computed polymorph = 0 meV/atom; formation energy from raw total energies = -0.5405 eV per atom
1.0
4.763 0.000 0.000
0.000 4.763 0.000
0.000 0.000 4.763
K Al S
1 1 3
Direct
0.000 0.000 0.000
0.500 0.500 0.500
0.000 0.500 0.500
0.500 0.000 0.500
0.500 0.500 0.000


Ce4Pm2Se9 | Alexandria | PBE | relaxed; formation energy from raw total energies = -1.8266 eV per atom
1.0
7.491 0.000 0.000
3.740 6.495 0.000
0.016 -0.003 19.781
Ce Pm Se
8 4 18
Direct
0.166 0.167 0.183
0.166 0.167 0.979
0.167 0.166 0.479
0.168 0.166 0.683
0.832 0.834 0.317
0.833 0.834 0.521
0.834 0.833 0.021
0.834 0.833 0.817
0.499 0.501 0.150
0.500 0.499 0.351
0.500 0.501 0.649
0.501 0.499 0.850
0.133 0.542 0.418
0.136 0.824 0.918
0.175 0.460 0.082
0.175 0.866 0.582
0.202 0.501 0.750
0.202 0.798 0.250
0.459 0.177 0.582
0.459 0.866 0.082
0.499 0.202 0.250
0.501 0.798 0.750
0.541 0.134 0.918
0.541 0.823 0.418
0.798 0.202 0.750
0.798 0.499 0.250
0.825 0.134 0.418
0.825 0.540 0.918
0.864 0.176 0.082
0.867 0.458 0.582


Number 1: DFT total energy -5.027 eV per atom. Number 2: DFT total energy -4.964 eV per atom. Number 3: DFT total energy -8.321 eV per atom. Number 4: DFT total energy -3.043 eV per atom. Number 5: DFT total energy -7.757 eV per atom. Number 6: DFT total energy -1.582 eV per atom. Number 7: DFT total energy -4.613 eV per atom. Number 8: DFT total energy -7.367 eV per atom. Number 9: DFT total energy -6.992 eV per atom. Number 10: DFT total energy -5.069 eV per atom. Number 11: DFT total energy -3.440 eV per atom. Number 12: DFT total energy -5.798 eV per atom. Number 13: DFT total energy -3.657 eV per atom. Number 14: DFT total energy -3.406 eV per atom. Number 15: DFT total energy -3.424 eV per atom. Number 16: DFT total energy -5.738 eV per atom. Number 17: DFT total energy -3.887 eV per atom. Number 18: DFT total energy -6.006 eV per atom. Number 19: DFT total energy -3.985 eV per atom. Number 20: DFT total energy -6.133 eV per atom.